A geometry-optimized TiVFePt structure. Source: Alexandria, functional PBE-GGA.

Geometry as CIF:
```
data_TiVFePt
_chemical_formula_sum 'Ti4 V4 Fe4 Pt4'
_cell_length_a 6.0971
_cell_length_b 6.0971
_cell_length_c 6.0971
_cell_angle_alpha 90.00
_cell_angle_beta 90.00
_cell_angle_gamma 90.00
_symmetry_space_group_name_H-M 'F -4 3 m'
_symmetry_Int_Tables_number 216
_symmetry_space_group_name_Hall 'F -4 2 3'
loop_
_atom_site_label
_atom_site_fract_x
_atom_site_fract_y
_atom_site_fract_z
_atom_site_occupancy
Ti1 0.0000 0.0000 0.0000 1
V1 0.2500 0.2500 0.2500 1
Fe1 0.0000 0.0000 0.5000 1
Pt1 0.2500 0.2500 0.7500 1
```

* size of the total moment: 1.0 μB/f.u.
* ΔH_f (0 K): -0.359 eV per atom
* crystal system: cubic